1.
VASP calculation (PBE-GGA) on a geometry-optimized CaAcCd structure.

## Properties
Total energy: -7.656 eV/f.u.
Energy above the lowest structure with this stoichiometry: 0.000 eV/atom
DFT formation energy: -210 meV per atom

abc: 7.200 5.688 10.333
angles: 90.00 90.00 90.00
Sites, in units of the cell vectors:
1 Cd 0.701 0.750 0.404
2 Cd 0.799 0.250 0.904
3 Ca 0.978 0.250 0.208
4 Ca 0.522 0.750 0.708
5 Ac 0.178 0.750 0.423
6 Cd 0.299 0.250 0.596
7 Cd 0.201 0.750 0.096
8 Ac 0.678 0.750 0.077
9 Ac 0.322 0.250 0.923
10 Ca 0.478 0.250 0.292
11 Ca 0.022 0.750 0.792
12 Ac 0.822 0.250 0.577

---

2.
VASP calculation (PBE-GGA) on a geometry-optimized CaAcCeCd structure.

## Properties
Total energy: -12.410 eV/f.u.
DFT formation energy: 137 meV per atom

abc: 5.727 5.727 5.727
angles: 60.00 60.00 60.00
Sites, in units of the cell vectors:
1 Ca 0.000 0.000 0.000
2 Cd 0.750 0.750 0.750
3 Ac 0.250 0.250 0.250
4 Ce 0.500 0.500 0.500

---

3.
VASP calculation (PBE-GGA) on a geometry-optimized CaAcDyCd structure.

## Properties
Total energy: -11.637 eV/f.u.
Energy above the lowest structure with this stoichiometry: 0.134 eV/atom
DFT formation energy: -2 meV per atom

abc: 5.740 5.740 5.740
angles: 60.00 60.00 60.00
Sites, in units of the cell vectors:
1 Cd 0.750 0.750 0.750
2 Ac 0.000 0.000 0.000
3 Dy 0.500 0.500 0.500
4 Ca 0.250 0.250 0.250

---

4.
VASP calculation (PBE-GGA) on a geometry-optimized CaAcDyCd structure.

## Properties
Total energy: -12.172 eV/f.u.
Energy above the lowest structure with this stoichiometry: 0.000 eV/atom
DFT formation energy: -136 meV per atom

abc: 3.768 3.768 9.602
angles: 90.00 90.00 90.00
Sites, in units of the cell vectors:
1 Dy 0.500 0.500 0.366
2 Cd 0.000 0.000 0.557
3 Ac 0.000 0.000 0.092
4 Ca 0.500 0.500 0.769

---

5.
VASP calculation (PBE-GGA) on a geometry-optimized CaAcErCd structure.

## Properties
Total energy: -11.210 eV/f.u.
DFT formation energy: 95 meV per atom

abc: 5.732 5.732 5.732
angles: 60.00 60.00 60.00
Sites, in units of the cell vectors:
1 Cd 0.750 0.750 0.750
2 Ac 0.250 0.250 0.250
3 Ca 0.500 0.500 0.500
4 Er 0.000 0.000 0.000

---

6.
VASP calculation (PBE-GGA) on a geometry-optimized CaAcGdCd structure.

## Properties
Total energy: -20.827 eV/f.u.
DFT formation energy: 70 meV per atom

abc: 5.757 5.757 5.757
angles: 60.00 60.00 60.00
Sites, in units of the cell vectors:
1 Cd 0.500 0.500 0.500
2 Ac 0.000 0.000 0.000
3 Gd 0.750 0.750 0.750
4 Ca 0.250 0.250 0.250

---

7.
VASP calculation (PBE-GGA) on a geometry-optimized CaAcCdHg structure.

## Properties
Total energy: -9.100 eV/f.u.
DFT formation energy: -443 meV per atom

abc: 5.595 5.595 5.595
angles: 60.00 60.00 60.00
Sites, in units of the cell vectors:
1 Hg 0.250 0.250 0.250
2 Ac 0.500 0.500 0.500
3 Ca 0.000 0.000 0.000
4 Cd 0.750 0.750 0.750

---

8.
VASP calculation (PBE-GGA) on a geometry-optimized CaAcCd2Hg4 structure.

## Properties
Total energy: -12.255 eV/f.u.
DFT formation energy: -388 meV per atom

abc: 5.240 5.240 9.324
angles: 73.68 73.68 60.00
Sites, in units of the cell vectors:
1 Ac 0.000 0.000 0.000
2 Ca 0.500 0.500 0.500
3 Cd 0.751 0.751 0.747
4 Hg 0.382 0.382 0.853
5 Hg 0.872 0.872 0.385
6 Hg 0.618 0.618 0.147
7 Hg 0.128 0.128 0.615
8 Cd 0.249 0.249 0.253

---

9.
VASP calculation (PBE-GGA) on a geometry-optimized Ca2AcCd2Hg2 structure.

## Properties
Total energy: -12.873 eV/f.u.
DFT formation energy: -332 meV per atom

abc: 5.057 5.057 9.974
angles: 75.32 75.32 60.00
Sites, in units of the cell vectors:
1 Ca 0.127 0.127 0.618
2 Ca 0.873 0.873 0.382
3 Cd 0.743 0.743 0.770
4 Hg 0.597 0.597 0.209
5 Hg 0.403 0.403 0.791
6 Ac 0.000 0.000 0.000
7 Cd 0.257 0.257 0.230

---

10.
VASP calculation (PBE-GGA) on a geometry-optimized CaAcHoCd structure.

## Properties
Total energy: -12.140 eV/f.u.
Energy above the lowest structure with this stoichiometry: 0.000 eV/atom
DFT formation energy: -134 meV per atom

abc: 3.765 3.765 9.579
angles: 90.00 90.00 90.00
Sites, in units of the cell vectors:
1 Ca 0.500 0.500 0.769
2 Cd 0.000 0.000 0.556
3 Ho 0.500 0.500 0.367
4 Ac 0.000 0.000 0.093

---

11.
VASP calculation (PBE-GGA) on a geometry-optimized CaAcHoCd structure.

## Properties
Total energy: -11.240 eV/f.u.
Energy above the lowest structure with this stoichiometry: 0.225 eV/atom
DFT formation energy: 91 meV per atom

abc: 5.739 5.739 5.739
angles: 60.00 60.00 60.00
Sites, in units of the cell vectors:
1 Ac 0.500 0.500 0.500
2 Ho 0.250 0.250 0.250
3 Ca 0.750 0.750 0.750
4 Cd 0.000 0.000 0.000

---

12.
VASP calculation (PBE-GGA) on a geometry-optimized CaAcCd2In2 structure.

## Properties
Total energy: -15.963 eV/f.u.
DFT formation energy: -424 meV per atom

abc: 5.017 5.017 7.887
angles: 90.00 90.00 120.00
Sites, in units of the cell vectors:
1 In 0.667 0.333 0.262
2 Ac 0.000 0.000 0.000
3 Cd 0.667 0.333 0.718
4 Ca 0.000 0.000 0.500
5 In 0.333 0.667 0.738
6 Cd 0.333 0.667 0.282

---

Q: Among the records above, which one has the highest DFT formation energy?
A: CaAcCeCd